(1)
A geometry-optimized TlCrGa3 structure. Source: Alexandria, functional GGA-PBE.

a = 4.8059 Å, b = 4.8059 Å, c = 4.8059 Å
α = 90.00°, β = 90.00°, γ = 90.00°
With the nearest neighbours (Å) after each atom.
Atoms (fractional coordinates):
1 Tl 0.0000 0.0000 0.0000  12 Ga 3.40
2 Cr 0.5000 0.5000 0.5000  6 Ga 2.40
3 Ga 0.0000 0.5000 0.5000  2 Cr 2.40
4 Ga 0.5000 0.0000 0.5000  2 Cr 2.40
5 Ga 0.5000 0.5000 0.0000  2 Cr 2.40

Summary:
**Relative energy among the computed polymorphs**: 0 meV/atom
**Electronic total energy**: -19.79 eV per cell
**Energy relative to the elements**: 0.2561 eV per atom
**Density of states at the Fermi level**: 3.3 states/eV per cell

(2)
A geometry-optimized TmCrGa2 structure. Source: Alexandria, functional GGA-PBE.

a = 5.4645 Å, b = 5.4645 Å, c = 5.4645 Å
α = 46.06°, β = 46.06°, γ = 46.06°
With the nearest neighbours (Å) after each atom.
Atoms (fractional coordinates):
1 Tm 0.0000 0.0000 0.0000  8 Ga 2.98-3.21
2 Cr 0.5000 0.5000 0.5000  6 Ga 2.59
3 Ga 0.2194 0.2194 0.2194  3 Cr 2.59
4 Ga 0.7806 0.7806 0.7806  3 Cr 2.59

Summary:
**Electronic total energy**: -20.96 eV per cell
**Energy relative to the elements**: -0.2039 eV per atom
**Density of states at the Fermi level**: 4.0 states/eV per cell

(3)
A geometry-optimized Tm3CrGa12 structure. Source: Alexandria, functional GGA-PBE.

a = 4.2060 Å, b = 4.2060 Å, c = 16.4546 Å
α = 90.00°, β = 90.00°, γ = 90.00°
With the nearest neighbours (Å) after each atom.
Atoms (fractional coordinates):
1 Tm 0.0000 0.0000 0.0000  12 Ga 2.97-3.00
2 Tm 0.0000 0.0000 0.2616  12 Ga 2.98-3.02
3 Tm 0.0000 0.0000 0.7384  12 Ga 2.98-3.02
4 Cr 0.0000 0.0000 0.5000  12 Ga 2.76-2.97
5 Ga 0.0000 0.5000 0.1299  8 Ga 2.95-3.00, 4 Tm 3.00-3.02
6 Ga 0.0000 0.5000 0.3910  2 Cr 2.76, 8 Ga 2.76-3.07, 2 Tm 2.99
7 Ga 0.0000 0.5000 0.6090  2 Cr 2.76, 8 Ga 2.76-3.07, 2 Tm 2.99
8 Ga 0.0000 0.5000 0.8701  8 Ga 2.95-3.00, 4 Tm 3.00-3.02
9 Ga 0.5000 0.0000 0.1299  8 Ga 2.95-3.00, 4 Tm 3.00-3.02
10 Ga 0.5000 0.0000 0.3910  2 Cr 2.76, 8 Ga 2.76-3.07, 2 Tm 2.99
11 Ga 0.5000 0.0000 0.6090  2 Cr 2.76, 8 Ga 2.76-3.07, 2 Tm 2.99
12 Ga 0.5000 0.0000 0.8701  8 Ga 2.95-3.00, 4 Tm 3.00-3.02
13 Ga 0.5000 0.5000 0.0000  4 Tm 2.97, 8 Ga 3.00
14 Ga 0.5000 0.5000 0.2553  8 Ga 2.95-3.07, 4 Tm 2.98
15 Ga 0.5000 0.5000 0.5000  8 Ga 2.76, 4 Cr 2.97
16 Ga 0.5000 0.5000 0.7447  8 Ga 2.95-3.07, 4 Tm 2.98

Summary:
**Electronic total energy**: -65.26 eV per cell
**Energy relative to the elements**: -0.3687 eV per atom
**Density of states at the Fermi level**: 7.4 states/eV per cell

(4)
A geometry-optimized Tm4CrGa12 structure. Source: Alexandria, functional GGA-PBE.

a = 7.4175 Å, b = 7.4175 Å, c = 7.4175 Å
α = 109.47°, β = 109.47°, γ = 109.47°
With the nearest neighbours (Å) after each atom.
Atoms (fractional coordinates):
1 Tm 0.0000 0.0000 0.5000  12 Ga 3.03-3.05
2 Tm 0.0000 0.5000 0.0000  12 Ga 3.03-3.05
3 Tm 0.5000 0.0000 0.0000  12 Ga 3.03-3.05
4 Tm 0.5000 0.5000 0.5000  12 Ga 3.03-3.05
5 Cr 0.0000 0.0000 0.0000  6 Ga 2.47
6 Ga 0.0000 0.2881 0.2881  1 Cr 2.47
7 Ga 0.0000 0.7119 0.7119  1 Cr 2.47
8 Ga 0.2500 0.5000 0.7500  8 Ga 2.81-3.03, 4 Tm 3.03
9 Ga 0.2500 0.7500 0.5000  8 Ga 2.81-3.03, 4 Tm 3.03
10 Ga 0.2881 0.0000 0.2881  1 Cr 2.47
11 Ga 0.2881 0.2881 0.0000  1 Cr 2.47
12 Ga 0.5000 0.2500 0.7500  8 Ga 2.81-3.03, 4 Tm 3.03
13 Ga 0.5000 0.7500 0.2500  8 Ga 2.81-3.03, 4 Tm 3.03
14 Ga 0.7119 0.0000 0.7119  1 Cr 2.47
15 Ga 0.7119 0.7119 0.0000  1 Cr 2.47
16 Ga 0.7500 0.2500 0.5000  8 Ga 2.81-3.03, 4 Tm 3.03
17 Ga 0.7500 0.5000 0.2500  8 Ga 2.81-3.03, 4 Tm 3.03

Summary:
**Electronic total energy**: -71.88 eV per cell
**Energy relative to the elements**: -0.4736 eV per atom
**Density of states at the Fermi level**: 8.6 states/eV per cell

(5)
A geometry-optimized UCrGa5 structure. Source: Alexandria, functional GGA-PBE.

a = 4.3375 Å, b = 4.3375 Å, c = 6.7859 Å
α = 90.00°, β = 90.00°, γ = 90.00°
With the nearest neighbours (Å) after each atom.
Atoms (fractional coordinates):
1 U 0.0000 0.0000 0.0000  12 Ga 2.97-3.07
2 Cr 0.0000 0.0000 0.5000  8 Ga 2.56
3 Ga 0.0000 0.5000 0.3000  2 Cr 2.56, 1 Ga 2.71
4 Ga 0.0000 0.5000 0.7000  2 Cr 2.56, 1 Ga 2.71
5 Ga 0.5000 0.0000 0.3000  2 Cr 2.56, 1 Ga 2.71
6 Ga 0.5000 0.0000 0.7000  2 Cr 2.56, 1 Ga 2.71
7 Ga 0.5000 0.5000 0.0000  8 Ga 2.97, 4 U 3.07

Summary:
**Electronic total energy**: -37.16 eV per cell
**Energy relative to the elements**: -0.1597 eV per atom
**Density of states at the Fermi level**: 6.1 states/eV per cell

(6)
A geometry-optimized UCrGa structure. Source: Alexandria, functional GGA-PBE.

a = 6.1559 Å, b = 6.1559 Å, c = 6.1559 Å
α = 152.14°, β = 152.14°, γ = 39.80°
With the nearest neighbours (Å) after each atom.
Atoms (fractional coordinates):
1 U 0.0000 0.0000 0.0000  4 Cr 2.83, 4 U 2.96, 4 Ga 3.12
2 Cr 0.3351 0.3351 0.0000  4 Ga 2.62, 4 U 2.83
3 Ga 0.6997 0.6997 0.0000  4 Cr 2.62

Summary:
**Electronic total energy**: -23.74 eV per cell
**Energy relative to the elements**: 0.0655 eV per atom
**Density of states at the Fermi level**: 3.5 states/eV per cell